Record 1
Computed, not measured: Y2MgSc at its PBEsol-relaxed geometry at the meta-GGA SCAN level of DFT.

Calculated values
Total magnetic moment (μB/atom): 0.406
DFT formation energy (meV/atom): 49

abc: 3.379 3.379 11.228
angles: 81.35 81.35 60.00
Site moments in Bohr magnetons follow the coordinates.
Atoms (fractional coordinates):
Y  0.252  0.252  0.244  0.25
Y  0.748  0.748  0.756  0.25
Sc  0.000  0.000  0.000  0.51
Mg  0.500  0.500  0.500  0.00


Record 2
Computed, not measured: YMgSc2 at its PBEsol-relaxed geometry at the meta-GGA SCAN level of DFT.

Calculated values
Total magnetic moment (μB/atom): 0.107
DFT formation energy (meV/atom): -16

abc: 3.362 3.362 8.907
angles: 90.00 90.00 90.00
Site moments in Bohr magnetons follow the coordinates.
Atoms (fractional coordinates):
Y  0.000  0.000  0.499  -0.30
Sc  0.000  0.000  0.000  0.41
Sc  0.500  0.500  0.237  0.09
Mg  0.500  0.500  0.764  0.01


Record 3
Computed, not measured: Y2MgSc at its PBEsol-relaxed geometry at the meta-GGA SCAN level of DFT.

Calculated values
Total magnetic moment (μB/atom): 0.001
DFT formation energy (meV/atom): 27

abc: 3.820 5.175 6.319
angles: 114.17 107.59 90.00
Atoms (fractional coordinates):
Y  0.770  0.770  0.540
Y  0.230  0.230  0.460
Sc  0.000  0.500  0.000
Mg  0.500  0.000  0.000


Record 4
Computed, not measured: YMgSc2 at its PBEsol-relaxed geometry at the meta-GGA SCAN level of DFT.

Calculated values
Total magnetic moment (μB/atom): 0.068
DFT formation energy (meV/atom): 0

abc: 3.586 5.202 6.224
angles: 114.70 106.74 90.00
Site moments in Bohr magnetons follow the coordinates.
Atoms (fractional coordinates):
Y  0.500  0.000  0.000  0.11
Sc  0.730  0.730  0.459  0.03
Sc  0.270  0.270  0.541  0.03
Mg  0.000  0.500  0.000  0.00


Record 5
Computed, not measured: Y2MgSc at its PBEsol-relaxed geometry at the meta-GGA SCAN level of DFT.

Calculated values
Total magnetic moment (μB/atom): 0.301
DFT formation energy (meV/atom): 30

abc: 3.327 5.180 6.520
angles: 90.00 104.82 90.00
Site moments in Bohr magnetons follow the coordinates.
Atoms (fractional coordinates):
Y  0.921  0.000  0.964  0.15
Y  0.578  0.500  0.282  0.22
Sc  0.318  0.500  0.757  0.36
Mg  0.183  0.000  0.497  0.01


Record 6
Computed, not measured: YMgSc2 at its PBEsol-relaxed geometry at the meta-GGA SCAN level of DFT.

Calculated values
Total magnetic moment (μB/atom): 0.406
DFT formation energy (meV/atom): 30

abc: 3.344 4.549 6.626
angles: 90.00 90.00 90.00
Site moments in Bohr magnetons follow the coordinates.
Atoms (fractional coordinates):
Y  0.000  0.000  0.497  0.27
Sc  0.000  0.000  0.008  0.39
Sc  0.500  0.500  0.236  0.35
Mg  0.500  0.500  0.759  0.01


Record 7
Computed, not measured: YMgSc2 at its PBEsol-relaxed geometry at the meta-GGA SCAN level of DFT.

Calculated values
Total magnetic moment (μB/atom): 0.008
DFT formation energy (meV/atom): 22

abc: 3.676 5.089 6.191
angles: 114.27 107.27 90.00
Atoms (fractional coordinates):
Y  0.518  0.518  0.035
Sc  0.982  0.982  0.963
Sc  0.743  0.243  0.486
Mg  0.258  0.758  0.516


Record 8
Computed, not measured: YMg4Sc at its PBEsol-relaxed geometry at the meta-GGA SCAN level of DFT.

Calculated values
Total magnetic moment (μB/atom): 0.075
DFT formation energy (meV/atom): -63

abc: 5.888 5.888 5.888
angles: 60.00 60.00 60.00
Site moments in Bohr magnetons follow the coordinates.
Atoms (fractional coordinates):
Y  0.000  0.000  0.000  0.09
Sc  0.750  0.750  0.750  0.17
Mg  0.375  0.375  0.375  0.00
Mg  0.375  0.375  0.874  0.00
Mg  0.874  0.375  0.375  0.00
Mg  0.375  0.874  0.375  0.00